The following is a meta-GGA SCAN calculation of a crystal of Zr2TiGaBi relaxed with PBEsol, from the Alexandria database.

The structure in POSCAR format:
```
Zr2TiGaBi
1.0
5.3383 0.0000 0.0000
0.0000 5.3383 0.0000
0.0000 0.0000 4.9868
Zr Ti Ga Bi
2 1 1 1
Direct
0.0000 0.5000 0.0000
0.5000 0.0000 0.0000
0.0000 0.0000 0.5000
0.5000 0.5000 0.5000
0.0000 0.0000 0.0000
```

Values from the calculation:
Its calculated total energy is -33.48 eV per atom. The value obtained for the volume is 142.1 Å³/f.u. The total magnetization comes out at 1.5 μB/f.u. The density of states at the Fermi level is 1.153 states/eV per atom.

---

The following is a meta-GGA SCAN calculation of a crystal of TaCd2NiSe relaxed with PBEsol, from the Alexandria database.

The structure in POSCAR format:
```
TaCd2NiSe
1.0
5.3617 0.0000 0.0000
0.0000 5.3617 0.0000
0.0000 0.0000 4.4637
Ta Cd Ni Se
1 2 1 1
Direct
0.0000 0.0000 0.0000
0.0000 0.5000 0.0000
0.5000 0.0000 0.0000
0.0000 0.0000 0.5000
0.5000 0.5000 0.5000
```

Values from the calculation:
The value obtained for the volume is 128.3 Å³/f.u. The total magnetization comes out at 0.0 μB/f.u. The density of states at the Fermi level is 1.041 states/eV per atom. The value obtained for the formation energy from raw total energies is 1330 meV per atom.

---

The following is a meta-GGA SCAN calculation of a crystal of TiNbSbO2 relaxed with PBEsol, from the Alexandria database.

The structure in POSCAR format:
```
TiNbSbO2
1.0
3.9626 0.0000 0.0000
0.0000 3.9626 0.0000
0.0000 0.0000 5.5060
Ti Nb Sb O
1 1 1 2
Direct
0.0000 0.0000 0.0000
0.5000 0.5000 0.0000
0.0000 0.0000 0.5000
0.0000 0.5000 0.5000
0.5000 0.0000 0.5000
```

Values from the calculation:
The value obtained for the volume is 86.5 Å³/f.u. The total magnetization comes out at 1.7 μB/f.u. The density of states at the Fermi level is 0.579 states/eV per atom. The value obtained for the formation energy from raw total energies is 326 meV per atom.

---

The following is a meta-GGA SCAN calculation of a crystal of MgCoMo2 relaxed with PBEsol, from the Alexandria database.

The structure in POSCAR format:
```
MgCoMo2
1.0
-1.5431 2.2594 4.1671
1.5431 -2.2594 4.1671
1.5431 2.2594 -4.1671
Mg Co Mo
1 1 2
Direct
0.0000 0.0000 0.0000
0.7499 0.2499 0.5000
0.2809 0.7809 0.5000
0.5171 0.5171 0.0000
```

Values from the calculation:
Its calculated total energy is -22.72 eV per atom. The value obtained for the volume is 58.1 Å³/f.u. The total magnetization comes out at 1.6 μB/f.u. The density of states at the Fermi level is 0.663 states/eV per atom.

---

The following is a meta-GGA SCAN calculation of a crystal of KLi2La relaxed with PBEsol, from the Alexandria database.

The structure in POSCAR format:
```
KLi2La
1.0
3.4474 0.0000 0.0000
0.0000 6.1575 0.0000
-0.0061 0.0000 6.2436
K Li La
1 2 1
Direct
0.0000 0.0000 0.0000
0.4956 0.5000 0.9164
0.4973 0.0000 0.5106
0.9957 0.5000 0.4343
```

Values from the calculation:
Its calculated total energy is -13.83 eV per atom. The value obtained for the volume is 132.5 Å³/f.u. The total magnetization comes out at 0.1 μB/f.u. The density of states at the Fermi level is 0.843 states/eV per atom.

---

The following is a meta-GGA SCAN calculation of a crystal of CdTeAu2 relaxed with PBEsol, from the Alexandria database.

The structure in POSCAR format:
```
CdTeAu2
1.0
3.8271 -4.0296 0.0000
3.8271 4.0296 0.0000
0.0000 0.0000 2.9245
Cd Te Au
1 1 2
Direct
0.0000 0.0000 0.0000
0.5000 0.5000 0.0000
0.0000 0.5000 0.0000
0.5000 0.0000 0.0000
```

Values from the calculation:
The value obtained for the volume is 90.2 Å³/f.u. The total magnetization comes out at 0.0 μB/f.u. The density of states at the Fermi level is 0.431 states/eV per atom. The value obtained for the formation energy from raw total energies is -23 meV per atom.

---

The following is a meta-GGA SCAN calculation of a crystal of RbSrLiRu2 relaxed with PBEsol, from the Alexandria database.

The structure in POSCAR format:
```
RbSrLiRu2
1.0
4.5480 0.0000 0.0000
0.0000 4.5480 0.0000
0.0000 0.0000 5.2714
Rb Sr Li Ru
1 1 1 2
Direct
0.0000 0.0000 0.0000
0.5000 0.5000 0.0000
0.5000 0.5000 0.5000
0.0000 0.5000 0.5000
0.5000 0.0000 0.5000
```

Values from the calculation:
Its calculated total energy is -21.79 eV per atom. The value obtained for the volume is 109.0 Å³/f.u. The total magnetization comes out at 2.5 μB/f.u. The density of states at the Fermi level is 0.815 states/eV per atom.

---

The following is a meta-GGA SCAN calculation of a crystal of ZrCd2Au relaxed with PBEsol, from the Alexandria database.

The structure in POSCAR format:
```
ZrCd2Au
1.0
-2.3887 2.3887 3.3518
2.3887 -2.3887 3.3518
2.3887 2.3887 -3.3518
Zr Cd Au
1 2 1
Direct
0.0000 0.0000 0.0000
0.5000 0.5000 0.0000
0.7500 0.2500 0.5000
0.2500 0.7500 0.5000
```

Values from the calculation:
Its calculated total energy is -40.53 eV per atom. The value obtained for the volume is 76.5 Å³/f.u. The total magnetization comes out at 0.0 μB/f.u. The density of states at the Fermi level is 0.336 states/eV per atom.

---

The following is a meta-GGA SCAN calculation of a crystal of CaTl2GaSb relaxed with PBEsol, from the Alexandria database.

The structure in POSCAR format:
```
CaTl2GaSb
1.0
5.2077 0.0000 0.0000
0.0000 5.2077 0.0000
0.0000 0.0000 5.5868
Ca Tl Ga Sb
1 2 1 1
Direct
0.0000 0.0000 0.0000
0.0000 0.5000 0.5000
0.5000 0.0000 0.5000
0.0000 0.0000 0.5000
0.5000 0.5000 0.0000
```

Values from the calculation:
The value obtained for the volume is 151.5 Å³/f.u. The total magnetization comes out at 0.0 μB/f.u. The density of states at the Fermi level is 0.728 states/eV per atom. The value obtained for the formation energy from raw total energies is 44 meV per atom.

---

The following is a meta-GGA SCAN calculation of a crystal of NiHg2Te relaxed with PBEsol, from the Alexandria database.

The structure in POSCAR format:
```
NiHg2Te
1.0
0.0000 3.4373 3.4373
3.4373 0.0000 3.4373
3.4373 3.4373 0.0000
Ni Hg Te
1 2 1
Direct
0.0000 0.0000 0.0000
0.5000 0.5000 0.5000
0.7500 0.7500 0.7500
0.2500 0.2500 0.2500
```

Values from the calculation:
The value obtained for the volume is 81.2 Å³/f.u. The total magnetization comes out at 0.0 μB/f.u. The density of states at the Fermi level is 0.462 states/eV per atom. The value obtained for the formation energy from raw total energies is 481 meV per atom.

---

The following is a meta-GGA SCAN calculation of a crystal of MgTcSb relaxed with PBEsol, from the Alexandria database.

The structure in POSCAR format:
```
MgTcSb
1.0
-1.6953 1.6953 4.5095
1.6953 -1.6953 4.5095
1.6953 1.6953 -4.5095
Mg Tc Sb
1 1 1
Direct
0.0000 0.0000 0.0000
0.6694 0.6694 0.0000
0.3146 0.3146 0.0000
```

Values from the calculation:
The value obtained for the volume is 51.8 Å³/f.u. The total magnetization comes out at 0.0 μB/f.u. The value obtained for the formation energy from raw total energies is -177 meV per atom.

---

The following is a meta-GGA SCAN calculation of a crystal of BeZnTe2 relaxed with PBEsol, from the Alexandria database.

The structure in POSCAR format:
```
BeZnTe2
1.0
-2.9249 2.9249 5.7957
2.9249 -2.9249 5.7957
2.9249 2.9249 -5.7957
Be Zn Te
2 2 4
Direct
0.0000 0.0000 0.0000
0.7500 0.2500 0.5000
0.2500 0.7500 0.5000
0.5000 0.5000 0.0000
0.0980 0.6250 0.9730
0.3750 0.3480 0.4730
0.6520 0.1250 0.0270
0.8750 0.9020 0.5270
```

Values from the calculation:
The value obtained for the volume is 99.2 Å³/f.u. The total magnetization comes out at 0.0 μB/f.u. The density of states at the Fermi level is 0.000 states/eV per atom. The value obtained for the formation energy from raw total energies is -459 meV per atom.

---

The following is a meta-GGA SCAN calculation of a crystal of LaInAs4 relaxed with PBEsol, from the Alexandria database.

The structure in POSCAR format:
```
LaInAs4
1.0
0.0000 4.0288 4.0288
4.0288 0.0000 4.0288
4.0288 4.0288 0.0000
La In As
1 1 4
Direct
0.0000 0.0000 0.0000
0.7500 0.7500 0.7500
0.3780 0.3780 0.3780
0.3780 0.3780 0.8659
0.3780 0.8659 0.3780
0.8659 0.3780 0.3780
```

Values from the calculation:
Its calculated total energy is -26.53 eV per atom. The value obtained for the volume is 130.8 Å³/f.u. The total magnetization comes out at 0.0 μB/f.u. The density of states at the Fermi level is 0.466 states/eV per atom.

---

The following is a meta-GGA SCAN calculation of a crystal of ZrFeP relaxed with PBEsol, from the Alexandria database.

The structure in POSCAR format:
```
ZrFeP
1.0
6.2539 0.0000 0.0000
0.0000 3.7197 0.0000
0.0000 0.0000 6.9761
Zr Fe P
4 4 4
Direct
0.0135 0.2500 0.1859
0.4865 0.7500 0.6859
0.5135 0.2500 0.3141
0.9865 0.7500 0.8141
0.1458 0.2500 0.5627
0.3542 0.7500 0.0627
0.6458 0.2500 0.9373
0.8542 0.7500 0.4373
0.2162 0.7500 0.3889
0.2838 0.2500 0.8889
0.7162 0.7500 0.1111
0.7838 0.2500 0.6111
```

Values from the calculation:
Its calculated total energy is -20.77 eV per atom. The value obtained for the volume is 40.6 Å³/f.u. The total magnetization comes out at 0.0 μB/f.u. The density of states at the Fermi level is 0.744 states/eV per atom.

---

The following is a meta-GGA SCAN calculation of a crystal of KCr2HgBi relaxed with PBEsol, from the Alexandria database.

The structure in POSCAR format:
```
KCr2HgBi
1.0
5.3460 0.0000 0.0000
0.0000 5.3460 0.0000
0.0000 0.0000 5.3784
K Cr Hg Bi
1 2 1 1
Direct
0.0000 0.0000 0.0000
0.0000 0.5000 0.0000
0.5000 0.0000 0.0000
0.0000 0.0000 0.5000
0.5000 0.5000 0.5000
```

Values from the calculation:
Its calculated total energy is -37.03 eV per atom. The value obtained for the volume is 153.7 Å³/f.u. The total magnetization comes out at 10.2 μB/f.u. The density of states at the Fermi level is 0.515 states/eV per atom.

---

The following is a meta-GGA SCAN calculation of a crystal of SrCaTe2 relaxed with PBEsol, from the Alexandria database.

The structure in POSCAR format:
```
SrCaTe2
1.0
4.5735 0.0000 0.0000
0.0000 4.5735 0.0000
0.0000 0.0000 6.4680
Sr Ca Te
1 1 2
Direct
0.0000 0.0000 0.0000
0.5000 0.5000 0.5000
0.0000 0.0000 0.5000
0.5000 0.5000 0.0000
```

Values from the calculation:
The value obtained for the volume is 135.3 Å³/f.u. The total magnetization comes out at 0.0 μB/f.u. The density of states at the Fermi level is 0.000 states/eV per atom. The value obtained for the formation energy from raw total energies is -1873 meV per atom.

---

The following is a meta-GGA SCAN calculation of a crystal of ZrRuI2N relaxed with PBEsol, from the Alexandria database.

The structure in POSCAR format:
```
ZrRuI2N
1.0
5.7484 0.0000 0.0000
0.0000 5.7484 0.0000
0.0000 0.0000 3.8824
Zr Ru I N
1 1 2 1
Direct
0.0000 0.0000 0.0000
0.5000 0.5000 0.5000
0.0000 0.5000 0.0000
0.5000 0.0000 0.0000
0.0000 0.0000 0.5000
```

Values from the calculation:
The value obtained for the volume is 128.3 Å³/f.u. The total magnetization comes out at 3.2 μB/f.u. The density of states at the Fermi level is 0.369 states/eV per atom. The value obtained for the formation energy from raw total energies is 438 meV per atom.

---

The following is a meta-GGA SCAN calculation of a crystal of CuPdI2O relaxed with PBEsol, from the Alexandria database.

The structure in POSCAR format:
```
CuPdI2O
1.0
5.3604 0.0000 0.0000
0.0000 5.3604 0.0000
0.0000 0.0000 3.4990
Cu Pd I O
1 1 2 1
Direct
0.0000 0.0000 0.0000
0.5000 0.5000 0.5000
0.0000 0.5000 0.0000
0.5000 0.0000 0.0000
0.0000 0.0000 0.5000
```

Values from the calculation:
The value obtained for the volume is 100.5 Å³/f.u. The total magnetization comes out at 1.8 μB/f.u. The density of states at the Fermi level is 1.289 states/eV per atom. The value obtained for the formation energy from raw total energies is 266 meV per atom.

---

The following is a meta-GGA SCAN calculation of a crystal of Hg5Sb relaxed with PBEsol, from the Alexandria database.

The structure in POSCAR format:
```
Hg5Sb
1.0
5.7050 -1.5714 0.0000
5.7050 1.5714 0.0000
-5.5666 0.0000 8.1534
Hg Sb
5 1
Direct
0.0000 0.0000 0.0000
0.3096 0.3096 0.6675
0.5643 0.5643 0.6602
0.6405 0.6405 0.3330
0.9000 0.9000 0.3345
0.2539 0.2539 0.9972
```

Values from the calculation:
The value obtained for the volume is 146.2 Å³/f.u. The total magnetization comes out at 0.0 μB/f.u. The density of states at the Fermi level is 0.319 states/eV per atom. The value obtained for the formation energy from raw total energies is 72 meV per atom.

---

The following is a meta-GGA SCAN calculation of a crystal of ZrTaIn2 relaxed with PBEsol, from the Alexandria database.

The structure in POSCAR format:
```
ZrTaIn2
1.0
2.9820 0.0000 0.0000
0.0000 4.4459 0.0000
0.0000 0.0000 5.9950
Zr Ta In
1 1 2
Direct
0.0000 0.0000 0.0000
0.0000 0.0000 0.5000
0.5000 0.5000 0.2572
0.5000 0.5000 0.7428
```

Values from the calculation:
Its calculated total energy is -41.17 eV per atom. The value obtained for the volume is 79.5 Å³/f.u. The total magnetization comes out at 0.0 μB/f.u. The density of states at the Fermi level is 0.401 states/eV per atom.